Entry 1:
# CdRh2 | Alexandria | PBE | relaxed
# E_form: 11 kJ/mol of formula units
# DFT total energy: -15.50 eV/f.u.
data_CdRh2
_chemical_formula_sum 'Cd4 Rh8'
_symmetry_space_group_name_H-M 'C 1 m 1'
_symmetry_Int_Tables_number 8
_cell_length_a 10.326
_cell_length_b 2.831
_cell_length_c 6.732
_cell_angle_alpha 90.00
_cell_angle_beta 104.41
_cell_angle_gamma 90.00
loop_
_symmetry_equiv_pos_as_xyz
'x,y,z'
'x,-y,z'
'x+1/2,y+1/2,z'
'x+1/2,-y+1/2,z'
loop_
_atom_site_label
_atom_site_fract_x
_atom_site_fract_y
_atom_site_fract_z
Cd1 0.000 0.000 0.000
Cd2 0.174 0.500 0.345
Rh1 0.053 0.000 0.618
Rh2 0.227 0.500 0.941
Rh3 0.332 0.000 0.672
Rh4 0.396 0.000 0.293

---

Entry 2:
# LaErSn6 | Alexandria | PBE | relaxed
# E_form: -375 kJ/mol of formula units
# DFT total energy: -37.39 eV/f.u.
data_LaErSn6
_chemical_formula_sum 'La1 Er1 Sn6'
_symmetry_space_group_name_H-M 'P 4/m m m'
_symmetry_Int_Tables_number 123
_symmetry_space_group_name_Hall '-P 4 2'
_cell_length_a 4.816
_cell_length_b 4.816
_cell_length_c 9.270
_cell_angle_alpha 90.00
_cell_angle_beta 90.00
_cell_angle_gamma 90.00
loop_
_atom_site_label
_atom_site_fract_x
_atom_site_fract_y
_atom_site_fract_z
La1 0.000 0.000 0.000
Er1 0.000 0.000 0.500
Sn1 0.000 0.500 0.258
Sn2 0.500 0.500 0.000
Sn3 0.500 0.500 0.500

---

Entry 3:
# SrAlSb2 | Alexandria | PBE | relaxed
# DFT total energy: -14.83 eV/f.u.
# Formation energy without anion corrections: -6.70 kcal/mol of atoms
data_SrAlSb2
_chemical_formula_sum 'Sr2 Al2 Sb4'
_symmetry_space_group_name_H-M 'I 4/m m m'
_symmetry_Int_Tables_number 139
_symmetry_space_group_name_Hall '-I 4 2'
_cell_length_a 4.784
_cell_length_b 4.784
_cell_length_c 9.662
_cell_angle_alpha 90.00
_cell_angle_beta 90.00
_cell_angle_gamma 90.00
loop_
_atom_site_label
_atom_site_fract_x
_atom_site_fract_y
_atom_site_fract_z
Sr1 0.000 0.000 0.000
Al1 0.000 0.000 0.500
Sb1 0.000 0.500 0.250

---

Entry 4:
# CeCo5H11 | Alexandria | PBE | relaxed
# DFT total energy: -78.64 eV/f.u.
data_CeCo5H11
_chemical_formula_sum 'Ce2 Co10 H22'
_symmetry_space_group_name_H-M 'C 1 2/m 1'
_symmetry_Int_Tables_number 12
_cell_length_a 7.028
_cell_length_b 7.661
_cell_length_c 4.751
_cell_angle_alpha 90.00
_cell_angle_beta 113.06
_cell_angle_gamma 90.00
loop_
_symmetry_equiv_pos_as_xyz
'x,y,z'
'-x,-y,-z'
'-x,y,-z'
'x,-y,z'
'x+1/2,y+1/2,z'
'-x+1/2,-y+1/2,-z'
'-x+1/2,y+1/2,-z'
'x+1/2,-y+1/2,z'
loop_
_atom_site_label
_atom_site_fract_x
_atom_site_fract_y
_atom_site_fract_z
Ce1 0.000 0.000 0.000
Co1 0.000 0.500 0.000
Co2 0.186 0.177 0.706
H1 0.000 0.000 0.500
H2 0.090 0.247 0.354
H3 0.165 0.360 0.915
H4 0.189 0.500 0.356